A geometry-optimized LaSi2Ir3 structure, computed with PBE.

Output
Raw formation energy in eV per formula unit: -5.2
N(E_F) in states/eV/atom: 0.486

Lattice parameters (Å, degrees): 16.157 4.041 9.910 90.00 107.87 90.00
Space group C2/m (No. 12)
Asymmetric unit:
La  0.000  0.000  0.000 (multiplicity 2)
La  0.158  0.000  0.700 (multiplicity 4)
Si  0.032  0.500  0.774 (multiplicity 4)
Si  0.138  0.500  0.447 (multiplicity 4)
Si  0.198  0.000  0.128 (multiplicity 4)
Ir  0.000  0.500  0.500 (multiplicity 2)
Ir  0.044  0.000  0.334 (multiplicity 4)
Ir  0.125  0.500  0.202 (multiplicity 4)
Ir  0.175  0.500  0.957 (multiplicity 4)
Ir  0.220  0.000  0.394 (multiplicity 4)